Computed, not measured: SrTb2Pm after structural relaxation at the PBE level of DFT.

a = 3.7147 Å, b = 3.7147 Å, c = 10.6617 Å
α = 90.00°, β = 90.00°, γ = 90.00°
Closest atoms and distances in Å follow each position.
Element x y z (fractional)
Sr (0.0000, 0.0000, 0.0000)  4 Sr 3.71, 8 Tb 3.95
Tb (0.5000, 0.5000, 0.2763)  4 Pm 3.55, 4 Tb 3.71, 4 Sr 3.95
Tb (0.5000, 0.5000, 0.7237)  4 Pm 3.55, 4 Tb 3.71, 4 Sr 3.95
Pm (0.0000, 0.0000, 0.5000)  8 Tb 3.55, 4 Pm 3.71

DOS at the Fermi energy (states/eV per cell): 6.347
ΔE to the lowest computed polymorph (eV per atom): 0.003
Crystal system: tetragonal
SG: P4/mmm